No. 1
A plane-wave DFT calculation with PBE-GGA was carried out for CdSi2Au after structural relaxation.

a = 4.251 Å, b = 4.251 Å, c = 8.063 Å
α = 90.00°, β = 90.00°, γ = 90.00°
Space group I-4m2 (No. 119)
Asymmetric unit:
Cd 0.000 0.000 0.000
Si 0.000 0.000 0.500
Si 0.000 0.500 0.750
Au 0.000 0.500 0.250

Results
- Calculated volume: 145.7 Å³ per cell
- E_tot: -3.378 eV/atom
- ΔE_f (raw): 0.38 eV per atom
- Total magnetic moment: 0.0 Bohr magnetons per cell

---

No. 2
A plane-wave DFT calculation with PBE-GGA was carried out for Mg2TeAs after structural relaxation.

a = 3.435 Å, b = 4.172 Å, c = 7.293 Å
α = 90.00°, β = 90.00°, γ = 90.00°
Space group Pmm2 (No. 25)
Asymmetric unit:
Mg 0.000 0.000 0.000
Mg 0.500 0.500 0.440
Te 0.000 0.000 0.600
As 0.500 0.500 0.085

Results
- E above lowest polymorph: 12 meV per atom
- Calculated volume: 104.5 Å³ per cell
- E_tot: -3.263 eV/atom
- ΔE_f (raw): -0.52 eV per atom
- Total magnetic moment: 0.0 Bohr magnetons per cell

---

No. 3
A plane-wave DFT calculation with PBE-GGA was carried out for BPRuO2 after structural relaxation.

a = 3.657 Å, b = 3.657 Å, c = 5.268 Å
α = 90.00°, β = 90.00°, γ = 90.00°
Space group P4/mmm (No. 123)
Asymmetric unit:
B 0.000 0.000 0.000
P 0.500 0.500 0.000
Ru 0.500 0.500 0.500
O 0.000 0.500 0.500

Results
- E above lowest polymorph: 487 meV per atom
- Calculated volume: 70.5 Å³ per cell
- E_tot: -5.864 eV/atom
- ΔE_f (raw): 0.39 eV per atom
- Total magnetic moment: 0.6 Bohr magnetons per cell

---

No. 4
A plane-wave DFT calculation with PBE-GGA was carried out for Rb2AgTe after structural relaxation.

a = 8.409 Å, b = 8.409 Å, c = 16.196 Å
α = 90.00°, β = 90.00°, γ = 90.00°
Space group I-42d (No. 122)
Asymmetric unit:
Rb 0.239 0.250 0.125
Ag 0.000 0.000 0.500
Te 0.000 0.000 0.000

Results
- Calculated volume: 1145.3 Å³ per cell
- E_tot: -2.014 eV/atom
- ΔE_f (raw): -0.03 eV per atom
- Total magnetic moment: 4.0 Bohr magnetons per cell

---

No. 5
A plane-wave DFT calculation with PBE-GGA was carried out for Ac5As4Pt after structural relaxation.

a = 4.501 Å, b = 6.410 Å, c = 22.655 Å
α = 90.00°, β = 90.00°, γ = 90.00°
Space group Immm (No. 71)
Asymmetric unit:
Ac 0.000 0.000 0.000
Ac 0.000 0.000 0.201
Ac 0.000 0.000 0.401
As 0.000 0.500 0.198
As 0.000 0.500 0.400
Pt 0.000 0.500 0.000

Results
- Calculated volume: 653.7 Å³ per cell
- E_tot: -5.880 eV/atom
- ΔH_f (0 K): -13.62 eV per formula unit
- Total magnetic moment: 0.0 Bohr magnetons per cell

---

No. 6
A plane-wave DFT calculation with PBE-GGA was carried out for TiMnInNi after structural relaxation.

a = 6.125 Å, b = 6.125 Å, c = 6.125 Å
α = 90.00°, β = 90.00°, γ = 90.00°
Space group F-43m (No. 216)
Asymmetric unit:
Ti 0.000 0.000 0.000
Mn 0.250 0.250 0.750
In 0.000 0.000 0.500
Ni 0.250 0.250 0.250

Results
- Calculated volume: 229.8 Å³ per cell
- E_tot: -6.464 eV/atom
- ΔH_f (0 K): -0.27 eV per formula unit
- Total magnetic moment: 0.0 Bohr magnetons per cell

---

No. 7
A plane-wave DFT calculation with PBE-GGA was carried out for Fe2IrOs after structural relaxation.

a = 2.795 Å, b = 4.354 Å, c = 4.502 Å
α = 90.00°, β = 90.00°, γ = 90.00°
Space group Pmmm (No. 47)
Asymmetric unit:
Fe 0.000 0.000 0.000
Fe 0.500 0.000 0.500
Ir 0.000 0.500 0.500
Os 0.500 0.500 0.000

Results
- Calculated volume: 54.8 Å³ per cell
- E_tot: -9.013 eV/atom
- ΔH_f (0 K): 0.96 eV per formula unit
- Total magnetic moment: 6.5 Bohr magnetons per cell

---

No. 8
A plane-wave DFT calculation with PBE-GGA was carried out for RbIn2Si after structural relaxation.

a = 4.4437 Å, b = 4.4437 Å, c = 23.4290 Å
α = 90.00°, β = 90.00°, γ = 120.00°
Space group R-3m (No. 166, hexagonal axes)
Asymmetric unit:
Rb 0.0000 0.0000 0.0000
In 0.0000 0.0000 0.2176
Si 0.0000 0.0000 0.5000

Results
- Calculated volume: 400.7 Å³ per cell
- E_tot: -2.887 eV/atom
- ΔE_f (raw): 0.08 eV per atom
- Total magnetic moment: 0.0 Bohr magnetons per cell